NiSbP2 GGA-PBE optimized geometry; total moment = 0.0 μB/cell; VASP energy = -20.0 eV for the cell shown; E_form (uncorrected) = 0.193 eV per atom; space group = No. 123
1.0
3.200 0.000 0.000
0.000 3.200 0.000
0.000 0.000 6.718
Ni Sb P
1 1 2
direct
0.000 0.000 0.000
0.000 0.000 0.500
0.500 0.500 0.159
0.500 0.500 0.841

ZnTc2Hg GGA-PBE optimized geometry; total moment = 0.0 μB/cell; VASP energy = -40.9 eV for the cell shown; energy of formation = 0.47 eV per atom; space group = No. 71; distance to the lowest polymorph of the same formula = 335.0 meV per atom
1.0
3.147 0.000 0.000
0.000 4.381 0.000
0.000 0.000 9.252
Zn Tc Hg
2 4 2
direct
0.000 0.000 0.000
0.500 0.500 0.500
0.000 0.500 0.261
0.000 0.500 0.739
0.500 0.000 0.239
0.500 0.000 0.761
0.000 0.000 0.500
0.500 0.500 0.000

Pm2Nd3SmSe6 GGA-PBE optimized geometry; total moment = 0.0 μB/cell; VASP energy = -71.5 eV for the cell shown; E_form (uncorrected) = -1.836 eV per atom; space group = No. 12
1.0
3.632 -6.326 0.000
3.632 6.326 0.000
-2.434 0.000 6.884
Pm Nd Sm Se
2 3 1 6
direct
0.167 0.833 0.000
0.833 0.167 0.000
0.000 0.000 0.500
0.332 0.668 0.500
0.668 0.332 0.500
0.500 0.500 0.000
0.086 0.418 0.754
0.250 0.250 0.247
0.418 0.086 0.754
0.582 0.914 0.246
0.750 0.750 0.753
0.914 0.582 0.246

Pm2TmZrN4 GGA-PBE optimized geometry; total moment = 0.0 μB/cell; VASP energy = -68.7 eV for the cell shown; E_form (uncorrected) = -1.616 eV per atom; space group = No. 10
1.0
5.967 0.000 0.000
0.000 3.444 0.000
-1.974 0.000 5.695
Pm Tm Zr N
2 1 1 4
direct
0.000 0.000 0.000
0.500 0.500 0.000
0.000 0.500 0.500
0.500 0.000 0.500
0.252 0.000 0.728
0.265 0.500 0.275
0.735 0.500 0.725
0.748 0.000 0.272